[1]
A geometry-optimized Dy4Rh6O19 structure, computed with PBE-GGA. Values from VASP.

Cell and atoms, written as Quantum ESPRESSO input:
```
&SYSTEM
  ibrav = 0, nat = 29, ntyp = 3
/
ATOMIC_SPECIES
Rh 102.91 Rh.upf
O 16.00 O.upf
Dy 162.50 Dy.upf
CELL_PARAMETERS angstrom
7.135 0.000 -2.523
-3.567 6.179 -2.523
0.000 0.000 7.568
ATOMIC_POSITIONS crystal
Rh 0.666 0.500 0.166
O 0.672 0.412 0.645
O 0.233 0.588 0.261
O 0.973 0.739 0.328
O 0.659 0.000 0.659
Dy 0.682 0.000 0.000
O 0.027 0.355 0.767
Rh 0.500 0.166 0.666
O 0.261 0.233 0.588
Rh 0.500 0.834 0.334
O 0.355 0.767 0.027
O 0.767 0.027 0.355
O 0.341 0.341 0.000
O 0.645 0.672 0.412
O 0.000 0.659 0.659
Rh 0.166 0.666 0.500
O 0.000 0.000 0.000
O 0.588 0.261 0.233
Dy 0.000 0.682 0.000
O 0.341 0.000 0.341
O 0.000 0.341 0.341
O 0.412 0.645 0.672
Rh 0.834 0.334 0.500
Rh 0.334 0.500 0.834
Dy 0.000 0.000 0.682
Dy 0.318 0.318 0.318
O 0.328 0.973 0.739
O 0.739 0.328 0.973
O 0.659 0.659 0.000
```

Values from the calculation:
The magnetic moment comes out at 0.0818 μB per atom. As for the symmetry: I23. The uncorrected formation energy is -1601 meV/atom.

---

[2]
A geometry-optimized Y2CuBi4 structure, computed with PBE-GGA. Values from VASP.

Cell and atoms, written as Quantum ESPRESSO input:
```
&SYSTEM
  ibrav = 0, nat = 7, ntyp = 3
/
ATOMIC_SPECIES
Cu 63.55 Cu.upf
Bi 208.98 Bi.upf
Y 88.91 Y.upf
CELL_PARAMETERS angstrom
5.371 0.000 0.000
0.000 5.371 0.000
2.685 2.685 7.637
ATOMIC_POSITIONS crystal
Cu 0.000 0.000 0.000
Bi 0.500 0.000 0.000
Bi 0.173 0.173 0.653
Bi 0.827 0.827 0.347
Bi 0.000 0.500 0.000
Y 0.377 0.377 0.246
Y 0.623 0.623 0.754
```

Values from the calculation:
The magnetic moment comes out at 0.0000 μB per atom. As for the symmetry: I4/mmm. The value obtained for the formation energy is -0.0856 eV/atom.

---

[3]
A geometry-optimized BaLi2Br2 structure, computed with PBE-GGA. Values from VASP.

Cell and atoms, written as Quantum ESPRESSO input:
```
&SYSTEM
  ibrav = 0, nat = 5, ntyp = 3
/
ATOMIC_SPECIES
Li 6.94 Li.upf
Br 79.90 Br.upf
Ba 137.33 Ba.upf
CELL_PARAMETERS angstrom
4.331 0.000 0.000
0.000 4.331 0.000
2.166 2.166 7.112
ATOMIC_POSITIONS crystal
Li 0.750 0.250 0.500
Br 0.622 0.622 0.755
Ba 0.000 0.000 0.000
Li 0.250 0.750 0.500
Br 0.378 0.378 0.245
```

Values from the calculation:
The magnetic moment comes out at 0.0432 μB per atom. As for the symmetry: I4/mmm. The uncorrected formation energy is -984 meV/atom.